Here is a geometry-optimized Pr2Mn3O8 structure from Alexandria. Energies are from PBE with a Hubbard U.

Cell lengths 3.8156, 3.8156, 12.2107 Å; angles 90.00, 90.00, 90.00 degrees
Fractional positions:
1 O 0.5000 0.0000 0.6879
2 O 0.5000 0.5000 0.1552
3 O 0.5000 0.0000 0.0000
4 O 0.0000 0.5000 0.3121
5 O 0.0000 0.5000 0.0000
6 O 0.0000 0.5000 0.6879
7 O 0.5000 0.5000 0.8448
8 O 0.5000 0.0000 0.3121
9 Pr 0.0000 0.0000 0.8254
10 Pr 0.0000 0.0000 0.1746
11 Mn 0.5000 0.5000 0.3312
12 Mn 0.5000 0.5000 0.6688
13 Mn 0.5000 0.5000 0.0000

crystal system	tetragonal
space-group type	P4/mmm, No. 123
total magnetization	11.0	μB/f.u.
DOS(E_F)	0.184	states/eV/atom
DFT total energy	-7.65	eV/atom